Density functional theory data (PBE) for crystalline LaTb2SmTm at its relaxed geometry.

Cell: 7.1636 7.1636 7.2293 Å, 90.00 90.00 107.62°
Last column: nearest neighbours and their distance in Å.
Fractional positions:
1 La 0.2337 0.7663 0.7500  1 Sm 3.06
2 La 0.7663 0.2337 0.2500  1 Sm 3.06
3 Tb 0.1885 0.1885 0.0000  1 Tb 3.19, 2 Sm 3.20, 2 Tm 3.50
4 Tb 0.1885 0.1885 0.5000  1 Tb 3.19, 2 Sm 3.20, 2 Tm 3.50
5 Tb 0.8115 0.8115 0.0000  1 Tb 3.19, 2 Sm 3.20, 2 Tm 3.50
6 Tb 0.8115 0.8115 0.5000  1 Tb 3.19, 2 Sm 3.20, 2 Tm 3.50
7 Sm 0.4982 0.5018 0.7500  1 La 3.06, 4 Tb 3.20, 1 Tm 3.27
8 Sm 0.5018 0.4982 0.2500  1 La 3.06, 4 Tb 3.20, 1 Tm 3.27
9 Tm 0.2191 0.7809 0.2500  1 Sm 3.27, 4 Tb 3.50, 2 La 3.62
10 Tm 0.7809 0.2191 0.7500  1 Sm 3.27, 4 Tb 3.50, 2 La 3.62

Uncorrected energy = -4.308 eV/atom
Energy relative to the elements = 367.7 meV per atom
DOS(E_F) = 1.693 states/eV per atom
Symmetry = Cmcm, No. 63

Density functional theory data (PBE) for crystalline LaTb3SmTm at its relaxed geometry.

Cell: 10.3118 10.3118 7.0618 Å, 90.91 90.91 32.06°
Last column: nearest neighbours and their distance in Å.
Fractional positions:
1 La 0.1451 0.1451 0.0256  1 Tm 3.06, 2 Tb 3.16-3.32
2 La 0.8549 0.8549 0.9744  1 Tm 3.06, 2 Tb 3.16-3.32
3 Tb 0.0220 0.0220 0.7353  1 La 3.16, 2 Sm 3.21, 1 Tm 3.21, 1 Tb 3.42
4 Tb 0.2801 0.2801 0.7542  3 Tm 3.30-3.52, 3 La 3.32-3.56, 1 Sm 3.32, 3 Tb 3.58-3.67
5 Tb 0.3364 0.3364 0.2752  2 Tm 3.42, 2 La 3.57, 4 Tb 3.58-3.83
6 Tb 0.6636 0.6636 0.7248  2 Tm 3.42, 2 La 3.57, 4 Tb 3.58-3.83
7 Tb 0.7199 0.7199 0.2458  3 Tm 3.30-3.52, 3 La 3.32-3.56, 1 Sm 3.32, 3 Tb 3.58-3.67
8 Tb 0.9780 0.9780 0.2647  1 La 3.16, 2 Sm 3.21, 1 Tm 3.21, 1 Tb 3.42
9 Sm 0.4474 0.4474 0.7309  3 Tb 3.21-3.32
10 Sm 0.5526 0.5526 0.2691  3 Tb 3.21-3.32
11 Tm 0.1492 0.1492 0.4592  1 La 3.06, 4 Tb 3.21-3.42
12 Tm 0.8508 0.8508 0.5408  1 La 3.06, 4 Tb 3.21-3.42

Uncorrected energy = -4.474 eV/atom
Energy relative to the elements = 194.6 meV per atom
DOS(E_F) = 1.649 states/eV per atom
Symmetry = C2/m, No. 12

Density functional theory data (PBE) for crystalline La2TbSmTm2 at its relaxed geometry.

Cell: 5.7672 11.0325 6.3507 Å, 90.00 90.00 90.00°
Last column: nearest neighbours and their distance in Å.
Fractional positions:
1 La 0.0000 0.0856 0.0000  4 La 3.57-3.69, 5 Tm 3.59-3.71, 3 Sm 3.68-3.75
2 La 0.0000 0.9144 0.5000  4 La 3.57-3.69, 5 Tm 3.59-3.71, 3 Sm 3.68-3.75
3 La 0.5000 0.2519 0.1614  2 La 3.57, 2 Sm 3.59, 5 Tm 3.60-3.71, 3 Tb 3.63-3.68
4 La 0.5000 0.7481 0.6614  2 La 3.57, 2 Sm 3.59, 5 Tm 3.60-3.71, 3 Tb 3.63-3.68
5 Tb 0.5000 0.4189 0.6627  5 Tm 3.54-3.69, 2 Sm 3.56, 3 La 3.63-3.68, 2 Tb 3.64
6 Tb 0.5000 0.5811 0.1627  5 Tm 3.54-3.69, 2 Sm 3.56, 3 La 3.63-3.68, 2 Tb 3.64
7 Sm 0.0000 0.2542 0.4992  2 Tb 3.56, 5 Tm 3.58-3.70, 5 La 3.59-3.75
8 Sm 0.0000 0.7458 0.9992  2 Tb 3.56, 5 Tm 3.58-3.70, 5 La 3.59-3.75
9 Tm 0.0000 0.4217 0.9950  4 Tb 3.54-3.57, 3 Sm 3.58-3.70, 3 La 3.60-3.71, 2 Tm 3.61
10 Tm 0.0000 0.5783 0.4950  4 Tb 3.54-3.57, 3 Sm 3.58-3.70, 3 La 3.60-3.71, 2 Tm 3.61
11 Tm 0.5000 0.0845 0.6643  7 La 3.59-3.71, 2 Sm 3.59, 2 Tm 3.68, 1 Tb 3.69
12 Tm 0.5000 0.9155 0.1643  7 La 3.59-3.71, 2 Sm 3.59, 2 Tm 3.68, 1 Tb 3.69

Uncorrected energy = -4.657 eV/atom
Energy relative to the elements = 34.1 meV per atom
DOS(E_F) = 1.808 states/eV per atom
Symmetry = Pmc2_1, No. 26

Density functional theory data (PBE) for crystalline La2Tb2SmTm2 at its relaxed geometry.

Cell: 6.2399 6.2399 8.0829 Å, 97.61 97.61 48.24°
Last column: nearest neighbours and their distance in Å.
Fractional positions:
1 La 0.1425 0.1425 0.4273  1 Sm 3.60, 5 Tb 3.60-3.65, 3 La 3.61, 3 Tm 3.64-3.65
2 La 0.8575 0.8575 0.5727  1 Sm 3.60, 5 Tb 3.60-3.65, 3 La 3.61, 3 Tm 3.64-3.65
3 Tb 0.4294 0.4294 0.2797  4 Tm 3.54-3.62, 2 Sm 3.58, 5 La 3.60-3.65, 1 Tb 3.69
4 Tb 0.5706 0.5706 0.7203  4 Tm 3.54-3.62, 2 Sm 3.58, 5 La 3.60-3.65, 1 Tb 3.69
5 Sm 0.0000 0.0000 0.0000  6 Tm 3.57-3.61, 4 Tb 3.58, 2 La 3.60
6 Tm 0.2839 0.2839 0.8622  4 Tb 3.54-3.62, 2 Tm 3.54, 3 Sm 3.57-3.61, 3 La 3.64-3.65
7 Tm 0.7161 0.7161 0.1378  4 Tb 3.54-3.62, 2 Tm 3.54, 3 Sm 3.57-3.61, 3 La 3.64-3.65

Uncorrected energy = -4.651 eV/atom
Energy relative to the elements = 31.7 meV per atom
DOS(E_F) = 1.615 states/eV per atom
Symmetry = C2/m, No. 12

Density functional theory data (PBE) for crystalline La6TbSmTm2 at its relaxed geometry.

Cell: 9.0028 9.0028 9.8525 Å, 94.51 94.51 117.55°
Last column: nearest neighbours and their distance in Å.
Fractional positions:
1 La 0.0074 0.5624 0.1902  2 La 3.32-3.71, 1 Sm 3.46, 1 Tm 3.56, 1 Tb 3.61
2 La 0.1060 0.7590 0.5534  5 La 3.46-3.82, 2 Tm 3.50-3.82, 2 Tb 3.65-3.87
3 La 0.2410 0.8940 0.9466  5 La 3.46-3.82, 2 Tm 3.50-3.82, 2 Tb 3.65-3.87
4 La 0.2968 0.5089 0.3786  3 La 3.32-3.46, 3 Tm 3.36-3.50, 2 Sm 3.46-3.64
5 La 0.4376 0.9926 0.3098  2 La 3.32-3.71, 1 Sm 3.46, 1 Tm 3.56, 1 Tb 3.61
6 La 0.4911 0.7032 0.1214  3 La 3.32-3.46, 3 Tm 3.36-3.50, 2 Sm 3.46-3.64
7 La 0.5089 0.2968 0.8786  3 La 3.32-3.46, 3 Tm 3.36-3.50, 2 Sm 3.46-3.64
8 La 0.5624 0.0074 0.6902  2 La 3.32-3.71, 1 Sm 3.46, 1 Tm 3.56, 1 Tb 3.61
9 La 0.7032 0.4911 0.6214  3 La 3.32-3.46, 3 Tm 3.36-3.50, 2 Sm 3.46-3.64
10 La 0.7590 0.1060 0.0534  5 La 3.46-3.82, 2 Tm 3.50-3.82, 2 Tb 3.65-3.87
11 La 0.8940 0.2410 0.4466  5 La 3.46-3.82, 2 Tm 3.50-3.82, 2 Tb 3.65-3.87
12 La 0.9926 0.4376 0.8098  2 La 3.32-3.71, 1 Sm 3.46, 1 Tm 3.56, 1 Tb 3.61
13 Tb 0.0275 0.9725 0.2500  4 Tm 3.43, 4 La 3.61-3.65
14 Tb 0.9725 0.0275 0.7500  4 Tm 3.43, 4 La 3.61-3.65
15 Sm 0.4088 0.5912 0.7500  6 La 3.46-3.64, 2 Tm 3.58
16 Sm 0.5912 0.4088 0.2500  6 La 3.46-3.64, 2 Tm 3.58
17 Tm 0.1956 0.2883 0.0471  5 La 3.36-3.56, 2 Tb 3.43, 1 Sm 3.58
18 Tm 0.2883 0.1956 0.5471  5 La 3.36-3.56, 2 Tb 3.43, 1 Sm 3.58
19 Tm 0.7117 0.8044 0.4529  5 La 3.36-3.56, 2 Tb 3.43, 1 Sm 3.58
20 Tm 0.8044 0.7117 0.9529  5 La 3.36-3.56, 2 Tb 3.43, 1 Sm 3.58

Uncorrected energy = -4.682 eV/atom
Energy relative to the elements = 104.0 meV per atom
DOS(E_F) = 1.538 states/eV per atom
Symmetry = C2/c, No. 15

Density functional theory data (PBE) for crystalline La5TbSm2Tm at its relaxed geometry.

Cell: 11.0876 11.0876 11.0876 Å, 136.03 136.03 63.93°
Last column: nearest neighbours and their distance in Å.
Fractional positions:
1 La 0.0000 0.0000 0.0000  4 Sm 3.27
2 La 0.0810 0.5810 0.9398  1 Sm 3.17, 1 Tm 3.32
3 La 0.1412 0.0810 0.5000  1 Sm 3.17, 1 Tm 3.32
4 La 0.3588 0.8588 0.9398  1 Sm 3.17, 1 Tm 3.32
5 La 0.4190 0.3588 0.5000  1 Sm 3.17, 1 Tm 3.32
6 La 0.5000 0.5000 0.0000  4 Sm 3.27
7 La 0.5810 0.6412 0.5000  1 Sm 3.17, 1 Tm 3.32
8 La 0.6412 0.1412 0.0602  1 Sm 3.17, 1 Tm 3.32
9 La 0.8588 0.9190 0.5000  1 Sm 3.17, 1 Tm 3.32
10 La 0.9190 0.4190 0.0602  1 Sm 3.17, 1 Tm 3.32
11 Tb 0.2500 0.2500 0.0000  8 La 3.62
12 Tb 0.7500 0.7500 0.0000  8 La 3.62
13 Sm 0.1274 0.3726 0.5000  1 Sm 2.99, 4 La 3.17-3.27
14 Sm 0.3726 0.8726 0.2453  1 Sm 2.99, 4 La 3.17-3.27
15 Sm 0.6274 0.1274 0.7547  1 Sm 2.99, 4 La 3.17-3.27
16 Sm 0.8726 0.6274 0.5000  1 Sm 2.99, 4 La 3.17-3.27
17 Tm 0.2500 0.7500 0.5000  4 La 3.32
18 Tm 0.7500 0.2500 0.5000  4 La 3.32

Uncorrected energy = -4.517 eV/atom
Energy relative to the elements = 280.9 meV per atom
DOS(E_F) = 1.643 states/eV per atom
Symmetry = I4/mcm, No. 140

Density functional theory data (PBE) for crystalline La2Tb3Sm6Tm at its relaxed geometry.

Cell: 6.2742 6.2742 12.0192 Å, 95.01 95.01 120.00°
Last column: nearest neighbours and their distance in Å.
Fractional positions:
1 La 0.1666 0.8334 0.0000  3 La 3.62, 3 Tm 3.62, 6 Sm 3.66
2 La 0.8334 0.1666 0.0000  3 La 3.62, 3 Tm 3.62, 6 Sm 3.66
3 Tb 0.0000 0.0000 0.5000  6 Sm 3.59-3.60, 6 Tb 3.62-3.63
4 Tb 0.3338 0.6662 0.5000  6 Sm 3.58-3.60, 6 Tb 3.61-3.63
5 Tb 0.6662 0.3338 0.5000  6 Sm 3.58-3.60, 6 Tb 3.61-3.63
6 Sm 0.0842 0.4155 0.7467  3 Tb 3.59-3.60, 6 Sm 3.60-3.63, 1 Tm 3.65, 2 La 3.66
7 Sm 0.2530 0.2530 0.2537  3 Tb 3.58-3.60, 6 Sm 3.60-3.63, 1 Tm 3.65, 2 La 3.66
8 Sm 0.4155 0.0842 0.7467  3 Tb 3.59-3.60, 6 Sm 3.60-3.63, 1 Tm 3.65, 2 La 3.66
9 Sm 0.5845 0.9158 0.2533  3 Tb 3.59-3.60, 6 Sm 3.60-3.63, 1 Tm 3.65, 2 La 3.66
10 Sm 0.7470 0.7470 0.7463  3 Tb 3.58-3.60, 6 Sm 3.60-3.63, 1 Tm 3.65, 2 La 3.66
11 Sm 0.9158 0.5845 0.2533  3 Tb 3.59-3.60, 6 Sm 3.60-3.63, 1 Tm 3.65, 2 La 3.66
12 Tm 0.5000 0.5000 0.0000  6 La 3.62, 6 Sm 3.65

Uncorrected energy = -4.692 eV/atom
Energy relative to the elements = 19.3 meV per atom
DOS(E_F) = 1.457 states/eV per atom
Symmetry = C2/m, No. 12

Density functional theory data (PBE) for crystalline La5Tb2SmTm at its relaxed geometry.

Cell: 9.7826 9.7826 9.7826 Å, 121.66 121.66 87.16°
Last column: nearest neighbours and their distance in Å.
Fractional positions:
1 La 0.0000 0.0000 0.0000  2 Sm 3.54, 4 Tb 3.88, 8 La 3.93
2 La 0.0665 0.5665 0.9037  1 Tm 3.17, 1 Tb 3.20, 1 La 3.50
3 La 0.1628 0.0665 0.5000  1 Tm 3.17, 1 Tb 3.20, 1 La 3.50
4 La 0.3372 0.8372 0.9037  1 Tm 3.17, 1 Tb 3.20, 1 La 3.50
5 La 0.4335 0.3372 0.5000  1 Tm 3.17, 1 Tb 3.20, 1 La 3.50
6 La 0.5000 0.5000 0.0000  2 Sm 3.54, 4 Tb 3.88, 8 La 3.93
7 La 0.5665 0.6628 0.5000  1 Tm 3.17, 1 Tb 3.20, 1 La 3.50
8 La 0.6628 0.1628 0.0963  1 Tm 3.17, 1 Tb 3.20, 1 La 3.50
9 La 0.8372 0.9335 0.5000  1 Tm 3.17, 1 Tb 3.20, 1 La 3.50
10 La 0.9335 0.4335 0.0963  1 Tm 3.17, 1 Tb 3.20, 1 La 3.50
11 Tb 0.1084 0.3916 0.5000  1 Tb 2.92, 2 La 3.20
12 Tb 0.3916 0.8916 0.2832  1 Tb 2.92, 2 La 3.20
13 Tb 0.6084 0.1084 0.7168  1 Tb 2.92, 2 La 3.20
14 Tb 0.8916 0.6084 0.5000  1 Tb 2.92, 2 La 3.20
15 Sm 0.2500 0.2500 0.0000  10 La 3.54-3.80
16 Sm 0.7500 0.7500 0.0000  10 La 3.54-3.80
17 Tm 0.2500 0.7500 0.5000  4 La 3.17
18 Tm 0.7500 0.2500 0.5000  4 La 3.17

Uncorrected energy = -4.496 eV/atom
Energy relative to the elements = 291.8 meV per atom
DOS(E_F) = 1.698 states/eV per atom
Symmetry = I4/mcm, No. 140

- Among the records above, which one has the lowest uncorrected energy?
  La2Tb3Sm6Tm

- What is the DOS(E_F) in the sixth record?
  1.643 states/eV per atom